Model 1:
Crystalline ErSnSb2 at its relaxed geometry. Source: Alexandria, functional PBE.

For the total magnetization, the calculation gives 0.00 μB/atom.

a = 4.2765 Å, b = 4.2765 Å, c = 22.7761 Å
α = 90.00°, β = 90.00°, γ = 120.00°
With the nearest neighbours (Å) after each atom.
Space group R-3m (No. 166, hexagonal axes)
Symmetry-distinct sites (fractional):
Er1 0.0000 0.0000 0.0000 x3  6 Sb 3.09
Sn1 0.0000 0.0000 0.5000 x3  6 Sb 3.13
Sb1 0.0000 0.0000 0.2514 x6  3 Er 3.09, 3 Sn 3.13



Model 2:
Crystalline ErSnSb2 at its relaxed geometry. Source: Alexandria, functional PBE.

For the total magnetization, the calculation gives 0.00 μB/atom.

a = 4.1198 Å, b = 4.1198 Å, c = 6.3587 Å
α = 90.00°, β = 90.00°, γ = 90.00°
With the nearest neighbours (Å) after each atom.
Space group P4/mmm (No. 123)
Symmetry-distinct sites (fractional):
Er1 0.0000 0.0000 0.0000 x1  2 Sn 3.18, 8 Sb 3.28
Sn1 0.0000 0.0000 0.5000 x1  2 Er 3.18, 8 Sb 3.36
Sb1 0.5000 0.5000 0.2378 x2  2 Sb 3.02-3.34, 4 Er 3.28, 4 Sn 3.36



So which one is most stable? That would be model 2, about 30 meV per atom below the next structure.



Model 1:
Crystalline Er2SnSb at its relaxed geometry. Source: Alexandria, functional PBE.

For the total magnetization, the calculation gives 0.00 μB/atom.

a = 4.4313 Å, b = 23.6301 Å, c = 4.2980 Å
α = 90.00°, β = 90.00°, γ = 90.00°
With the nearest neighbours (Å) after each atom.
Space group Cmcm (No. 63)
Symmetry-distinct sites (fractional):
Er1 0.0000 0.0623 0.2500 x4  1 Sb 2.97, 4 Sn 3.11
Er2 0.0000 0.3166 0.2500 x4  5 Sb 3.04-3.09, 1 Sn 3.22
Sn1 0.0000 0.4528 0.2500 x4  2 Sn 3.10, 7 Er 3.11-3.41
Sb1 0.0000 0.1881 0.2500 x4  6 Er 2.97-3.09



Model 2:
Crystalline Er2SnSb at its relaxed geometry. Source: Alexandria, functional PBE.

For the total magnetization, the calculation gives 0.00 μB/atom.

a = 4.1531 Å, b = 4.1531 Å, c = 23.7468 Å
α = 90.00°, β = 90.00°, γ = 120.00°
With the nearest neighbours (Å) after each atom.
Space group R3m (No. 160, hexagonal axes)
Symmetry-distinct sites (fractional):
Er1 0.0000 0.0000 0.0000 x3  3 Sb 3.05, 3 Sn 3.20
Er2 0.0000 0.0000 0.1769 x3  3 Sb 3.01, 3 Sn 3.17
Sn1 0.0000 0.0000 0.7560 x3  6 Er 3.17-3.20
Sb1 0.0000 0.0000 0.5870 x3  6 Er 3.01-3.05



Model 3:
Crystalline Er2SnSb at its relaxed geometry. Source: Alexandria, functional PBE.

For the total magnetization, the calculation gives 0.00 μB/atom.

a = 7.2670 Å, b = 4.2017 Å, c = 8.0164 Å
α = 90.00°, β = 107.65°, γ = 90.00°
With the nearest neighbours (Å) after each atom.
Space group C2/m (No. 12)
Symmetry-distinct sites (fractional):
Er1 0.2469 0.0000 0.2405 x4  3 Sb 3.04, 3 Sn 3.13
Sn1 0.0000 0.0000 0.5000 x2  6 Er 3.13
Sb1 0.0000 0.5000 0.0000 x2  6 Er 3.04



So which one is most stable? That would be model 1, about 90 meV per atom below the next structure.



Model 1:
Crystalline Tb3ErSb3 at its relaxed geometry. Source: Alexandria, functional PBE.

For the total magnetization, the calculation gives 0.00 μB/atom.

a = 9.2048 Å, b = 9.2048 Å, c = 9.2048 Å
α = 90.00°, β = 90.00°, γ = 90.00°
With the nearest neighbours (Å) after each atom.
Space group P2_13 (No. 198)
Symmetry-distinct sites (fractional):
Tb1 0.0705 0.4295 0.5705 x4  6 Sb 3.09-3.30
Tb2 0.1771 0.8229 0.3229 x4  6 Sb 3.08-3.30
Tb3 0.1781 0.1781 0.1781 x4  6 Sb 3.08-3.31
Er1 0.0727 0.5727 0.9273 x4  6 Sb 3.06-3.30
Sb1 0.0008 0.2523 0.8738 x12  2 Er 3.06-3.30, 6 Tb 3.08-3.31



Model 2:
Crystalline Tb3ErSb3 at its relaxed geometry. Source: Alexandria, functional PBE.

For the total magnetization, the calculation gives 0.00 μB/atom.

a = 8.9553 Å, b = 8.9553 Å, c = 18.4594 Å
α = 90.00°, β = 90.00°, γ = 120.00°
With the nearest neighbours (Å) after each atom.
Space group R-3 (No. 148, hexagonal axes)
Symmetry-distinct sites (fractional):
Tb1 0.0032 0.7409 0.0849 x18  5 Sb 3.07-3.27
Er1 0.0000 0.0000 0.3335 x6  6 Sb 3.13-3.18
Sb1 0.0041 0.6139 0.9189 x18  5 Tb 3.07-3.27, 2 Er 3.13-3.18



So which one is most stable? That would be model 1, about 92 meV per atom below the next structure.



Model 1:
Crystalline Er2SbTe at its relaxed geometry. Source: Alexandria, functional PBE.

For the total magnetization, the calculation gives 0.00 μB/atom.

a = 4.3400 Å, b = 4.3400 Å, c = 21.2750 Å
α = 90.00°, β = 90.00°, γ = 120.00°
With the nearest neighbours (Å) after each atom.
Space group R-3m (No. 166, hexagonal axes)
Symmetry-distinct sites (fractional):
Er1 0.0000 0.0000 0.2459 x6  3 Sb 3.02, 3 Te 3.12
Sb1 0.0000 0.0000 0.5000 x3  6 Er 3.02
Te1 0.0000 0.0000 0.0000 x3  6 Er 3.12



Model 2:
Crystalline Er2SbTe at its relaxed geometry. Source: Alexandria, functional PBE.

For the total magnetization, the calculation gives 0.00 μB/atom.

a = 4.3676 Å, b = 7.2269 Å, c = 7.5312 Å
α = 90.00°, β = 90.00°, γ = 90.00°
With the nearest neighbours (Å) after each atom.
Space group Pmmn (No. 59, origin choice 2)
Symmetry-distinct sites (fractional):
Er1 0.2500 0.0012 0.2404 x4  3 Sb 3.06, 3 Te 3.13-3.14
Sb1 0.2500 0.7500 0.9133 x2  6 Er 3.06
Te1 0.2500 0.2500 0.5814 x2  6 Er 3.13-3.14



So which one is most stable? That would be model 1, about 20 meV per atom below the next structure.



Model 1:
Crystalline Er5Sb4Te at its relaxed geometry. Source: Alexandria, functional PBE.

For the total magnetization, the calculation gives 0.00 μB/atom.

a = 4.3453 Å, b = 4.3453 Å, c = 30.7396 Å
α = 90.00°, β = 90.00°, γ = 90.00°
With the nearest neighbours (Å) after each atom.
Space group I4/mmm (No. 139)
Symmetry-distinct sites (fractional):
Er1 0.0000 0.0000 0.0000 x2  2 Sb 3.04, 4 Te 3.07
Er2 0.0000 0.0000 0.1999 x4  6 Sb 3.06-3.11
Er3 0.0000 0.0000 0.3976 x4  5 Sb 3.01-3.07, 1 Te 3.15
Sb1 0.0000 0.0000 0.0989 x4  6 Er 3.04-3.11
Sb2 0.0000 0.0000 0.2995 x4  6 Er 3.01-3.07
Te1 0.0000 0.0000 0.5000 x2  6 Er 3.07-3.15



Model 2:
Crystalline Er5Sb4Te at its relaxed geometry. Source: Alexandria, functional PBE.

For the total magnetization, the calculation gives 0.00 μB/atom.

a = 4.3487 Å, b = 6.1435 Å, c = 21.7543 Å
α = 90.00°, β = 90.00°, γ = 90.00°
With the nearest neighbours (Å) after each atom.
Space group Immm (No. 71)
Symmetry-distinct sites (fractional):
Er1 0.0000 0.0000 0.0000 x2  4 Sb 3.06, 2 Te 3.07
Er2 0.0000 0.0000 0.1993 x4  6 Sb 3.07-3.08
Er3 0.0000 0.0000 0.3955 x4  4 Sb 3.02-3.07, 2 Te 3.15
Sb1 0.0000 0.5000 0.2008 x4  6 Er 3.02-3.07
Sb2 0.0000 0.5000 0.4010 x4  6 Er 3.06-3.08
Te1 0.0000 0.5000 0.0000 x2  6 Er 3.07-3.15



So which one is most stable? That would be model 2, about 6 meV per atom below the next structure.



Model 1:
Crystalline ErSbTe3 at its relaxed geometry. Source: Alexandria, functional PBE.

For the total magnetization, the calculation gives 0.00 μB/atom.

a = 11.1939 Å, b = 4.3288 Å, c = 14.6959 Å
α = 90.00°, β = 90.00°, γ = 90.00°
With the nearest neighbours (Å) after each atom.
Space group Pnma (No. 62)
Symmetry-distinct sites (fractional):
Er1 0.1570 0.2500 0.0289 x4  6 Te 3.01-3.15
Sb1 0.0498 0.2500 0.6403 x4  3 Te 2.92-2.93
Te1 0.0186 0.7500 0.1262 x4  3 Er 3.01-3.02
Te2 0.1598 0.2500 0.4597 x4  1 Sb 2.93, 2 Er 3.15
Te3 0.2010 0.7500 0.7083 x4  2 Sb 2.92, 1 Er 3.08



Model 2:
Crystalline ErSbTe3 at its relaxed geometry. Source: Alexandria, functional PBE.

For the total magnetization, the calculation gives 0.00 μB/atom.

a = 7.7309 Å, b = 7.7309 Å, c = 20.8231 Å
α = 90.00°, β = 90.00°, γ = 120.00°
With the nearest neighbours (Å) after each atom.
Space group R-3 (No. 148, hexagonal axes)
Symmetry-distinct sites (fractional):
Er1 0.0000 0.0000 0.1529 x6  6 Te 3.04-3.08
Sb1 0.0000 0.0000 0.3397 x6  6 Te 3.05-3.14
Te1 0.0038 0.3089 0.2475 x18  2 Er 3.04-3.08, 2 Sb 3.05-3.14



So which one is most stable? That would be model 1, about 57 meV per atom below the next structure.



Model 1:
Crystalline ErThSbTe at its relaxed geometry. Source: Alexandria, functional PBE.

For the total magnetization, the calculation gives 0.00 μB/atom.

a = 4.4202 Å, b = 4.4202 Å, c = 6.2697 Å
α = 90.00°, β = 90.00°, γ = 90.00°
With the nearest neighbours (Å) after each atom.
Space group P4/mmm (No. 123)
Symmetry-distinct sites (fractional):
Er1 0.0000 0.0000 0.0000 x1  4 Sb 3.13, 2 Te 3.13
Th1 0.5000 0.5000 0.5000 x1  4 Te 3.13, 2 Sb 3.13
Sb1 0.5000 0.5000 0.0000 x1  4 Er 3.13, 2 Th 3.13
Te1 0.0000 0.0000 0.5000 x1  4 Th 3.13, 2 Er 3.13



Model 2:
Crystalline ErThSbTe at its relaxed geometry. Source: Alexandria, functional PBE.

For the total magnetization, the calculation gives 0.00 μB/atom.

a = 7.6184 Å, b = 7.6184 Å, c = 7.6184 Å
α = 90.00°, β = 90.00°, γ = 90.00°
With the nearest neighbours (Å) after each atom.
Space group F-43m (No. 216)
Symmetry-distinct sites (fractional):
Er1 0.0000 0.0000 0.0000 x4  4 Sb 3.30, 4 Te 3.30
Th1 0.0000 0.0000 0.5000 x4  4 Te 3.30, 4 Sb 3.30
Sb1 0.2500 0.2500 0.2500 x4  4 Th 3.30, 4 Er 3.30
Te1 0.2500 0.2500 0.7500 x4  4 Er 3.30, 4 Th 3.30



So which one is most stable? That would be model 1, about 100 meV per atom below the next structure.



Model 1:
Crystalline Er5Tl2Sb at its relaxed geometry. Source: Alexandria, functional PBE.

For the total magnetization, the calculation gives 0.00 μB/atom.

a = 7.5116 Å, b = 7.5116 Å, c = 7.7735 Å
α = 90.00°, β = 90.00°, γ = 90.00°
With the nearest neighbours (Å) after each atom.
Space group I4mm (No. 107)
Symmetry-distinct sites (fractional):
Er1 0.0000 0.0000 0.0000 x2  1 Sb 3.14, 8 Er 3.25-3.38
Er2 0.2336 0.2336 0.7053 x8  2 Sb 3.22-3.41, 4 Tl 3.24-3.35, 4 Er 3.25-3.51
Tl1 0.0000 0.5000 0.4667 x4  8 Er 3.24-3.35
Sb1 0.0000 0.0000 0.4038 x2  9 Er 3.14-3.41



Model 2:
Crystalline Er5Tl2Sb at its relaxed geometry. Source: Alexandria, functional PBE.

For the total magnetization, the calculation gives 0.00 μB/atom.

a = 8.2860 Å, b = 8.2860 Å, c = 12.9912 Å
α = 90.00°, β = 90.00°, γ = 90.00°
With the nearest neighbours (Å) after each atom.
Space group I4/mcm (No. 140)
Symmetry-distinct sites (fractional):
Er1 0.0000 0.0000 0.0000 x4  4 Tl 3.17, 2 Sb 3.25
Er2 0.1525 0.3475 0.1522 x16  3 Tl 3.06-3.18, 2 Sb 3.39, 1 Er 3.42
Tl1 0.1477 0.3523 0.5000 x8  8 Er 3.06-3.18
Sb1 0.0000 0.0000 0.2500 x4  10 Er 3.25-3.39



So which one is most stable? That would be model 2, about 147 meV per atom below the next structure.



Model 1:
Crystalline Er3TmSb3 at its relaxed geometry. Source: Alexandria, functional PBE.

For the total magnetization, the calculation gives 0.00 μB/atom.

a = 8.8477 Å, b = 8.8477 Å, c = 18.2875 Å
α = 90.00°, β = 90.00°, γ = 120.00°
With the nearest neighbours (Å) after each atom.
Space group R-3 (No. 148, hexagonal axes)
Symmetry-distinct sites (fractional):
Er1 0.0022 0.7429 0.0836 x18  5 Sb 3.03-3.25
Tm1 0.0000 0.0000 0.3339 x6  6 Sb 3.11-3.14
Sb1 0.0037 0.6126 0.9173 x18  5 Er 3.03-3.25, 2 Tm 3.11-3.14



Model 2:
Crystalline Er3TmSb3 at its relaxed geometry. Source: Alexandria, functional PBE.

For the total magnetization, the calculation gives 0.00 μB/atom.

a = 9.1035 Å, b = 9.1035 Å, c = 9.1035 Å
α = 90.00°, β = 90.00°, γ = 90.00°
With the nearest neighbours (Å) after each atom.
Space group P2_13 (No. 198)
Symmetry-distinct sites (fractional):
Er1 0.0723 0.4277 0.5723 x4  6 Sb 3.05-3.26
Er2 0.1773 0.1773 0.1773 x4  6 Sb 3.05-3.26
Er3 0.1768 0.8232 0.3232 x4  6 Sb 3.05-3.26
Tm1 0.0733 0.5733 0.9267 x4  6 Sb 3.05-3.25
Sb1 0.0004 0.2509 0.8747 x12  2 Tm 3.05-3.25, 6 Er 3.05-3.26



So which one is most stable? That would be model 2, about 83 meV per atom below the next structure.



Model 1:
Crystalline ErTm2Sb at its relaxed geometry. Source: Alexandria, functional PBE.

For the total magnetization, the calculation gives 0.00 μB/atom.

a = 4.0232 Å, b = 4.0232 Å, c = 6.8404 Å
α = 90.00°, β = 90.00°, γ = 90.00°
With the nearest neighbours (Å) after each atom.
Space group P4/mmm (No. 123)
Symmetry-distinct sites (fractional):
Er1 0.0000 0.0000 0.0000 x1  8 Tm 3.38, 2 Sb 3.42
Tm1 0.5000 0.5000 0.2673 x2  1 Tm 3.18, 4 Sb 3.26, 4 Er 3.38
Sb1 0.0000 0.0000 0.5000 x1  8 Tm 3.26, 2 Er 3.42



Model 2:
Crystalline ErTm2Sb at its relaxed geometry. Source: Alexandria, functional PBE.

For the total magnetization, the calculation gives 0.00 μB/atom.

a = 7.5238 Å, b = 7.5238 Å, c = 7.5238 Å
α = 90.00°, β = 90.00°, γ = 90.00°
With the nearest neighbours (Å) after each atom.
Space group Fm-3m (No. 225)
Symmetry-distinct sites (fractional):
Er1 0.0000 0.0000 0.0000 x4  8 Tm 3.26
Tm1 0.2500 0.2500 0.2500 x8  4 Sb 3.26, 4 Er 3.26
Sb1 0.0000 0.0000 0.5000 x4  8 Tm 3.26



So which one is most stable? That would be model 1, about 235 meV per atom below the next structure.



Model 1:
Crystalline ErTm2Sb at its relaxed geometry. Source: Alexandria, functional PBE.

For the total magnetization, the calculation gives 0.00 μB/atom.

a = 4.0716 Å, b = 12.0969 Å, c = 9.3651 Å
α = 90.00°, β = 90.00°, γ = 90.00°
With the nearest neighbours (Å) after each atom.
Space group Cmcm (No. 63)
Symmetry-distinct sites (fractional):
Er1 0.0000 0.0573 0.2500 x4  2 Sb 3.17
Tm1 0.0000 0.3647 0.0472 x8  3 Sb 3.07-3.15, 1 Tm 3.39
Sb1 0.0000 0.2422 0.7500 x4  6 Tm 3.07-3.15, 2 Er 3.17



Model 2:
Crystalline ErTm2Sb at its relaxed geometry. Source: Alexandria, functional PBE.

For the total magnetization, the calculation gives 0.00 μB/atom.

a = 4.7306 Å, b = 4.7306 Å, c = 4.7261 Å
α = 90.00°, β = 90.00°, γ = 90.00°
With the nearest neighbours (Å) after each atom.
Space group P4/mmm (No. 123)
Symmetry-distinct sites (fractional):
Er1 0.0000 0.0000 0.0000 x1  8 Tm 3.34, 4 Sb 3.35
Tm1 0.0000 0.5000 0.5000 x2  4 Sb 3.34, 4 Er 3.34, 4 Tm 3.35
Sb1 0.5000 0.5000 0.0000 x1  8 Tm 3.34, 4 Er 3.35



So which one is most stable? That would be model 1, about 94 meV per atom below the next structure.